(1)
Pm3HoAu4 | PBE | optimized geometry

Unit cell a=3.6532 b=3.6532 c=14.7369 alpha=90.00 beta=90.00 gamma=90.00
With the nearest neighbours (Å) after each atom.
Space group P4/mmm (No. 123)
Asymmetric unit:
Pm: 0.0000 0.0000 0.0000 (multiplicity 1)  8 Au 3.18
Pm: 0.0000 0.0000 0.2534 (multiplicity 2)  8 Au 3.20-3.23
Ho: 0.0000 0.0000 0.5000 (multiplicity 1)  8 Au 3.09
Au: 0.5000 0.5000 0.1256 (multiplicity 2)  8 Pm 3.18-3.20
Au: 0.5000 0.5000 0.3855 (multiplicity 2)  4 Ho 3.09, 4 Pm 3.23, 1 Au 3.37

The density of states at the Fermi level is 4.59 states/eV/cell. The value obtained for the total magnetization is 0.00 Bohr magnetons per cell. As for the energy of formation from the pure elements: -0.806 eV/atom. The theoretical density comes out at 11.7 g cm⁻³. The relative energy among the computed polymorphs comes out at 0 meV per atom.

(2)
Pm2HoAu6 | PBE | optimized geometry

Unit cell a=6.6533 b=6.6533 c=5.5080 alpha=90.00 beta=90.00 gamma=120.00
With the nearest neighbours (Å) after each atom.
Space group P-3m1 (No. 164)
Asymmetric unit:
Pm: 0.3333 0.6667 0.3361 (multiplicity 2)  12 Au 3.16-3.45
Ho: 0.0000 0.0000 0.5000 (multiplicity 1)  6 Au 2.81
Au: 0.1888 0.3776 0.8230 (multiplicity 6)  1 Ho 2.81, 4 Au 2.89-2.92

The density of states at the Fermi level is 5.98 states/eV/cell. The value obtained for the total magnetization is 0.00 Bohr magnetons per cell. As for the energy of formation from the pure elements: -0.637 eV/atom. The theoretical density comes out at 12.9 g cm⁻³.